Here is crystalline Nb4Zn3W2N3 at its relaxed geometry from OQMD via LeMat-Bulk. Energies are from PBE.

Its uncorrected energy is -8.242 eV/atom.

It has space group C2/c (No. 15), with a = 8.878 Å, b = 5.132 Å, c = 14.710 Å, α = 90.00°, β = 101.66° and γ = 90.00°. The inequivalent atoms are Nb at (0.116, 0.082, 0.097), Nb at (0.218, 0.083, 0.403), Zn at (0.000, 0.111, 0.750), Zn at (0.153, 0.429, 0.250), W at (0.053, 0.417, 0.909), N at (0.083, 0.252, 0.500) and N at (0.250, 0.250, 0.000).